Record 1
The following is a DFT calculation (GGA-PBE) of a relaxed TiNi7Sn2Ge2 crystal.

Geometry as CIF:
```
data_TiNi7Sn2Ge2
_symmetry_space_group_name_H-M 'C 1 2/m 1'
_symmetry_Int_Tables_number 12
_cell_length_a 5.121
_cell_length_b 5.151
_cell_length_c 13.873
_cell_angle_alpha 90.00
_cell_angle_beta 94.72
_cell_angle_gamma 90.00
loop_
_symmetry_equiv_pos_as_xyz
'x,y,z'
'-x,-y,-z'
'-x,y,-z'
'x,-y,z'
'x+1/2,y+1/2,z'
'-x+1/2,-y+1/2,-z'
'-x+1/2,y+1/2,-z'
'x+1/2,-y+1/2,z'
loop_
_atom_site_label
_atom_site_type_symbol
_atom_site_fract_x
_atom_site_fract_y
_atom_site_fract_z
Ti1 Ti 0.000 0.000 0.000
Ni1 Ni 0.000 0.500 0.000
Ni2 Ni 0.117 0.500 0.415
Ni3 Ni 0.219 0.251 0.870
Sn1 Sn 0.122 0.000 0.400
Ge1 Ge 0.059 0.500 0.243
```

## Properties
Crystal system = monoclinic
E_tot = -5.655 eV/atom
Energy relative to the elements = -2.26 eV per formula unit
Density of states at the Fermi level = 12.0 states/eV per cell
Total moment = 0.0 μB/cell


Record 2
The following is a DFT calculation (GGA-PBE) of a relaxed SrAlZn2 crystal.

Geometry as CIF:
```
data_SrAlZn2
_symmetry_space_group_name_H-M 'R 3 m'
_symmetry_Int_Tables_number 160
_symmetry_space_group_name_Hall 'R 3 -2"'
_cell_length_a 4.3466
_cell_length_b 4.3466
_cell_length_c 17.4680
_cell_angle_alpha 90.00
_cell_angle_beta 90.00
_cell_angle_gamma 120.00
loop_
_atom_site_label
_atom_site_type_symbol
_atom_site_fract_x
_atom_site_fract_y
_atom_site_fract_z
Sr1 Sr 0.0000 0.0000 0.0000
Al1 Al 0.0000 0.0000 0.7976
Zn1 Zn 0.0000 0.0000 0.1991
Zn2 Zn 0.0000 0.0000 0.5190
```

## Properties
Crystal system = trigonal
E_tot = -2.176 eV/atom
Energy relative to the elements = -0.73 eV per formula unit
Density of states at the Fermi level = 6.2 states/eV per cell
Total moment = 0.0 μB/cell


Record 3
The following is a DFT calculation (GGA-PBE) of a relaxed HfSb2RhCl crystal.

Geometry as CIF:
```
data_HfSb2RhCl
_symmetry_space_group_name_H-M 'P 4/m m m'
_symmetry_Int_Tables_number 123
_symmetry_space_group_name_Hall '-P 4 2'
_cell_length_a 5.118
_cell_length_b 5.118
_cell_length_c 5.109
_cell_angle_alpha 90.00
_cell_angle_beta 90.00
_cell_angle_gamma 90.00
loop_
_atom_site_label
_atom_site_type_symbol
_atom_site_fract_x
_atom_site_fract_y
_atom_site_fract_z
Hf1 Hf 0.000 0.000 0.000
Sb1 Sb 0.000 0.500 0.500
Rh1 Rh 0.000 0.000 0.500
Cl1 Cl 0.500 0.500 0.000
```

## Properties
Crystal system = tetragonal
E_tot = -5.255 eV/atom
Density of states at the Fermi level = 6.1 states/eV per cell
Total moment = 0.0 μB/cell
Formation energy from raw total energies = 1.1 eV/f.u.


Record 4
The following is a DFT calculation (GGA-PBE) of a relaxed Mg2Al2Br crystal.

Geometry as CIF:
```
data_Mg2Al2Br
_symmetry_space_group_name_H-M 'P 4/m b m'
_symmetry_Int_Tables_number 127
_symmetry_space_group_name_Hall '-P 4 2ab'
_cell_length_a 8.263
_cell_length_b 8.263
_cell_length_c 3.350
_cell_angle_alpha 90.00
_cell_angle_beta 90.00
_cell_angle_gamma 90.00
loop_
_atom_site_label
_atom_site_type_symbol
_atom_site_fract_x
_atom_site_fract_y
_atom_site_fract_z
Mg1 Mg 0.190 0.310 0.000
Al1 Al 0.109 0.609 0.500
Br1 Br 0.000 0.000 0.000
```

## Properties
Crystal system = tetragonal
E_tot = -2.552 eV/atom
Density of states at the Fermi level = 3.9 states/eV per cell
Total moment = 0.0 μB/cell
Formation energy from raw total energies = -0.4 eV/f.u.


Record 5
The following is a DFT calculation (GGA-PBE) of a relaxed LiTbPmSn crystal.

Geometry as CIF:
```
data_LiTbPmSn
_symmetry_space_group_name_H-M 'F -4 3 m'
_symmetry_Int_Tables_number 216
_symmetry_space_group_name_Hall 'F -4 2 3'
_cell_length_a 7.486
_cell_length_b 7.486
_cell_length_c 7.486
_cell_angle_alpha 90.00
_cell_angle_beta 90.00
_cell_angle_gamma 90.00
loop_
_atom_site_label
_atom_site_type_symbol
_atom_site_fract_x
_atom_site_fract_y
_atom_site_fract_z
Li1 Li 0.000 0.000 0.000
Tb1 Tb 0.250 0.250 0.750
Pm1 Pm 0.250 0.250 0.250
Sn1 Sn 0.000 0.000 0.500
```

## Properties
Crystal system = cubic
E_tot = -4.259 eV/atom
Energy relative to the elements = -1.74 eV per formula unit
Density of states at the Fermi level = 11.2 states/eV per cell
Total moment = 0.0 μB/cell


Among the records above, which one has the lowest E_tot?
TiNi7Sn2Ge2